Entry from the Alexandria database: a relaxed structure of Tb3ScRu2 (PBE-GGA).

Properties
- V: 138.7 Å³/cell
- Calculated formation energy: -0.26 eV/atom
- SG: C2/m, No. 12
- Crystal system: monoclinic

POSCAR file:
```
Tb3ScRu2
1.0
-1.5061 -3.2558 -2.1834
3.5728 0.0853 -2.5916
2.4552 -3.1390 7.0255
Sc Tb Ru
1 3 2
Direct
0.0000 0.0000 0.0000 Sc
0.1833 0.6835 0.3666 Tb
0.8167 0.3165 0.6334 Tb
0.5000 0.5000 0.0000 Tb
0.3743 0.8744 0.7485 Ru
0.6257 0.1256 0.2515 Ru
```

=====

Entry from the Alexandria database: a relaxed structure of Sm3AsPbCl (PBE-GGA).

Properties
- V: 337.4 Å³/cell
- Formation energy without anion corrections: -1.09 eV/atom
- SG: P2_1/m, No. 11
- Crystal system: monoclinic

POSCAR file:
```
Sm3AsPbCl
1.0
-0.8952 -4.2973 1.1921
-2.0530 -1.6271 -7.4070
9.8097 -1.6955 1.2548
As Cl Sm Pb
2 2 6 2
Direct
0.2500 0.7007 0.1397 As
0.7500 0.2993 0.8603 As
0.7500 0.8720 0.4015 Cl
0.2500 0.1280 0.5985 Cl
0.7500 0.2868 0.5189 Sm
0.2500 0.5329 0.8417 Sm
0.7500 0.4671 0.1583 Sm
0.2500 0.7132 0.4811 Sm
0.2500 0.0653 0.8679 Sm
0.7500 0.9347 0.1321 Sm
0.7500 0.7415 0.7262 Pb
0.2500 0.2585 0.2738 Pb
```

=====

Entry from the Alexandria database: a relaxed structure of TcSn2Au (PBE-GGA).

Properties
- V: 232.5 Å³/cell
- Calculated formation energy: 0.66 eV/atom
- SG: I-42d, No. 122
- Crystal system: tetragonal

POSCAR file:
```
TcSn2Au
1.0
6.1728 0.0000 0.0000
0.0000 6.1728 0.0000
3.0864 3.0864 6.1018
Au Tc Sn
2 2 4
Direct
0.7500 0.2500 0.5000 Au
0.0000 0.0000 0.0000 Au
0.5000 0.5000 0.0000 Tc
0.2500 0.7500 0.5000 Tc
0.8750 0.8521 0.7500 Sn
0.6021 0.1250 0.2500 Sn
0.1479 0.6250 0.2500 Sn
0.3750 0.3979 0.7500 Sn
```

=====

Entry from the Alexandria database: a relaxed structure of Np2U4Os3 (PBE-GGA).

Properties
- V: 161.9 Å³/cell
- Calculated formation energy: -0.11 eV/atom
- SG: C2/m, No. 12
- Crystal system: monoclinic

POSCAR file:
```
Np2U4Os3
1.0
-0.1922 1.5500 -4.3085
3.1324 -4.4591 0.6935
-8.6646 -0.4258 0.2333
U Np Os
4 2 3
Direct
0.3419 0.6838 0.0031 U
0.9393 0.8785 0.6182 U
0.0607 0.1215 0.3818 U
0.6581 0.3162 0.9969 U
0.6484 0.2969 0.3071 Np
0.3515 0.7031 0.6929 Np
0.3424 0.6849 0.3225 Os
0.0000 0.0000 0.0000 Os
0.6576 0.3151 0.6775 Os
```

=====

Entry from the Alexandria database: a relaxed structure of PmPr2NdDy2 (PBE-GGA).

Properties
- V: 408.4 Å³/cell
- Calculated formation energy: 0.06 eV/atom
- SG: Pmma, No. 51
- Crystal system: orthorhombic

POSCAR file:
```
PmPr2NdDy2
1.0
5.7686 0.0000 0.0000
0.0000 7.0971 0.0000
0.0000 0.0000 9.9756
Nd Pm Dy Pr
2 2 4 4
Direct
0.5000 0.7576 0.3347 Nd
0.5000 0.2576 0.6653 Nd
0.0000 0.5077 0.4999 Pm
0.0000 0.0077 0.5001 Pm
0.5000 0.2576 0.3340 Dy
0.5000 0.7576 0.6660 Dy
0.0000 0.2576 0.8333 Dy
0.0000 0.7576 0.1667 Dy
0.0000 0.2576 0.1688 Pr
0.5000 0.0075 0.0001 Pr
0.5000 0.5075 0.9999 Pr
0.0000 0.7576 0.8312 Pr
```

=====

Entry from the Alexandria database: a relaxed structure of Ce2SmHo3As6 (PBE-GGA).

Properties
- V: 304.9 Å³/cell
- Calculated formation energy: -1.50 eV/atom
- SG: C2/m, No. 12
- Crystal system: monoclinic

POSCAR file:
```
Ce2SmHo3As6
1.0
-0.9347 -0.3743 4.0382
5.3971 -6.2868 0.6665
5.5372 7.4527 -0.1722
As Ho Ce Sm
6 3 2 1
Direct
0.3316 0.9191 0.6633 As
0.9991 0.2546 0.9982 As
0.6684 0.0809 0.3367 As
0.6656 0.5865 0.3311 As
0.3344 0.4135 0.6689 As
0.0009 0.7454 0.0018 As
0.1661 0.8340 0.3321 Ho
0.5000 0.5000 0.0000 Ho
0.8339 0.1660 0.6679 Ho
0.1662 0.3323 0.3323 Ce
0.8338 0.6677 0.6677 Ce
0.5000 0.0000 0.0000 Sm
```

=====

The highest V belongs to which entry? PmPr2NdDy2

=====

V of number 4 (Np2U4Os3)? 161.9 Å³/cell

=====

What is the formula in the third record? TcSn2Au